# 1
MnCu2Au | SCAN | PBEsol geometry

Structure (CIF):
```
data_MnCu2Au
_symmetry_space_group_name_H-M 'C 1 m 1'
_symmetry_Int_Tables_number 8
_cell_length_a 8.7960
_cell_length_b 2.8054
_cell_length_c 4.4560
_cell_angle_alpha 90.00
_cell_angle_beta 103.21
_cell_angle_gamma 90.00
loop_
_symmetry_equiv_pos_as_xyz
'x,y,z'
'x,-y,z'
'x+1/2,y+1/2,z'
'x+1/2,-y+1/2,z'
loop_
_atom_site_label
_atom_site_fract_x
_atom_site_fract_y
_atom_site_fract_z
_atom_site_occupancy
Mn1 0.0000 0.0000 0.0000 1
Cu1 0.2489 0.5000 0.2435 1
Cu2 0.4908 0.0000 0.4778 1
Au1 0.2439 0.0000 0.7383 1
```

energy of formation from the pure elements	-0.127	eV per atom
crystal system	monoclinic



# 2
MnCu2Au | SCAN | PBEsol geometry

Structure (CIF):
```
data_MnCu2Au
_symmetry_space_group_name_H-M 'I 4/m m m'
_symmetry_Int_Tables_number 139
_symmetry_space_group_name_Hall '-I 4 2'
_cell_length_a 3.7828
_cell_length_b 3.7828
_cell_length_c 7.4369
_cell_angle_alpha 90.00
_cell_angle_beta 90.00
_cell_angle_gamma 90.00
loop_
_atom_site_label
_atom_site_fract_x
_atom_site_fract_y
_atom_site_fract_z
_atom_site_occupancy
Mn1 0.0000 0.0000 0.0000 1
Cu1 0.0000 0.5000 0.2500 1
Au1 0.0000 0.0000 0.5000 1
```

energy of formation from the pure elements	-0.237	eV per atom
crystal system	tetragonal



# 3
MnCuAu2 | SCAN | PBEsol geometry

Structure (CIF):
```
data_MnCuAu2
_symmetry_space_group_name_H-M 'R -3 m'
_symmetry_Int_Tables_number 166
_symmetry_space_group_name_Hall '-R 3 2"'
_cell_length_a 2.8575
_cell_length_b 2.8575
_cell_length_c 25.5350
_cell_angle_alpha 90.00
_cell_angle_beta 90.00
_cell_angle_gamma 120.00
loop_
_atom_site_label
_atom_site_fract_x
_atom_site_fract_y
_atom_site_fract_z
_atom_site_occupancy
Mn1 0.0000 0.0000 0.0000 1
Cu1 0.0000 0.0000 0.5000 1
Au1 0.0000 0.0000 0.2487 1
```

energy of formation from the pure elements	-0.110	eV per atom
crystal system	trigonal



# 4
Mn2CuAu | SCAN | PBEsol geometry

Structure (CIF):
```
data_Mn2CuAu
_symmetry_space_group_name_H-M 'I 4/m m m'
_symmetry_Int_Tables_number 139
_symmetry_space_group_name_Hall '-I 4 2'
_cell_length_a 3.8856
_cell_length_b 3.8856
_cell_length_c 7.3790
_cell_angle_alpha 90.00
_cell_angle_beta 90.00
_cell_angle_gamma 90.00
loop_
_atom_site_label
_atom_site_fract_x
_atom_site_fract_y
_atom_site_fract_z
_atom_site_occupancy
Mn1 0.0000 0.5000 0.2500 1
Cu1 0.0000 0.0000 0.0000 1
Au1 0.0000 0.0000 0.5000 1
```

energy of formation from the pure elements	-0.264	eV per atom
crystal system	tetragonal



# 5
Mn2CuAu | SCAN | PBEsol geometry

Structure (CIF):
```
data_Mn2CuAu
_symmetry_space_group_name_H-M 'F -4 3 m'
_symmetry_Int_Tables_number 216
_symmetry_space_group_name_Hall 'F -4 2 3'
_cell_length_a 6.0635
_cell_length_b 6.0635
_cell_length_c 6.0635
_cell_angle_alpha 90.00
_cell_angle_beta 90.00
_cell_angle_gamma 90.00
loop_
_atom_site_label
_atom_site_fract_x
_atom_site_fract_y
_atom_site_fract_z
_atom_site_occupancy
Mn1 0.0000 0.0000 0.0000 1
Mn2 0.2500 0.2500 0.2500 1
Cu1 0.2500 0.2500 0.7500 1
Au1 0.0000 0.0000 0.5000 1
```

energy of formation from the pure elements	-0.254	eV per atom
crystal system	cubic



# 6
MnCuAu2 | SCAN | PBEsol geometry

Structure (CIF):
```
data_MnCuAu2
_symmetry_space_group_name_H-M 'P 4 m m'
_symmetry_Int_Tables_number 99
_cell_length_a 3.2103
_cell_length_b 3.2103
_cell_length_c 5.7941
_cell_angle_alpha 90.00
_cell_angle_beta 90.00
_cell_angle_gamma 90.00
loop_
_symmetry_equiv_pos_as_xyz
'x,y,z'
'-y,x,z'
'-x,-y,z'
'y,-x,z'
'-x,y,z'
'y,x,z'
'x,-y,z'
'-y,-x,z'
loop_
_atom_site_label
_atom_site_fract_x
_atom_site_fract_y
_atom_site_fract_z
_atom_site_occupancy
Mn1 0.0000 0.0000 0.0000 1
Cu1 0.5000 0.5000 0.7701 1
Au1 0.0000 0.0000 0.5372 1
Au2 0.5000 0.5000 0.2430 1
```

energy of formation from the pure elements	-0.244	eV per atom
crystal system	tetragonal



# 7
MnCuAu2 | SCAN | PBEsol geometry

Structure (CIF):
```
data_MnCuAu2
_symmetry_space_group_name_H-M 'C 1 m 1'
_symmetry_Int_Tables_number 8
_cell_length_a 9.1434
_cell_length_b 2.9950
_cell_length_c 4.4946
_cell_angle_alpha 90.00
_cell_angle_beta 105.19
_cell_angle_gamma 90.00
loop_
_symmetry_equiv_pos_as_xyz
'x,y,z'
'x,-y,z'
'x+1/2,y+1/2,z'
'x+1/2,-y+1/2,z'
loop_
_atom_site_label
_atom_site_fract_x
_atom_site_fract_y
_atom_site_fract_z
_atom_site_occupancy
Mn1 0.0000 0.0000 0.0000 1
Cu1 0.2373 0.5000 0.2707 1
Au1 0.2505 0.0000 0.7865 1
Au2 0.4858 0.0000 0.4826 1
```

energy of formation from the pure elements	-0.245	eV per atom
crystal system	monoclinic



# 8
MnCuAu2 | SCAN | PBEsol geometry

Structure (CIF):
```
data_MnCuAu2
_symmetry_space_group_name_H-M 'F -4 3 m'
_symmetry_Int_Tables_number 216
_symmetry_space_group_name_Hall 'F -4 2 3'
_cell_length_a 6.2204
_cell_length_b 6.2204
_cell_length_c 6.2204
_cell_angle_alpha 90.00
_cell_angle_beta 90.00
_cell_angle_gamma 90.00
loop_
_atom_site_label
_atom_site_fract_x
_atom_site_fract_y
_atom_site_fract_z
_atom_site_occupancy
Mn1 0.0000 0.0000 0.0000 1
Cu1 0.2500 0.2500 0.2500 1
Au1 0.0000 0.0000 0.5000 1
Au2 0.2500 0.2500 0.7500 1
```

energy of formation from the pure elements	-0.202	eV per atom
crystal system	cubic



# 9
MnCu2Au | SCAN | PBEsol geometry

Structure (CIF):
```
data_MnCu2Au
_symmetry_space_group_name_H-M 'F -4 3 m'
_symmetry_Int_Tables_number 216
_symmetry_space_group_name_Hall 'F -4 2 3'
_cell_length_a 5.9937
_cell_length_b 5.9937
_cell_length_c 5.9937
_cell_angle_alpha 90.00
_cell_angle_beta 90.00
_cell_angle_gamma 90.00
loop_
_atom_site_label
_atom_site_fract_x
_atom_site_fract_y
_atom_site_fract_z
_atom_site_occupancy
Mn1 0.0000 0.0000 0.0000 1
Cu1 0.0000 0.0000 0.5000 1
Cu2 0.2500 0.2500 0.7500 1
Au1 0.2500 0.2500 0.2500 1
```

energy of formation from the pure elements	-0.170	eV per atom
crystal system	cubic



# 10
MnCuAu | SCAN | PBEsol geometry

Structure (CIF):
```
data_MnCuAu
_symmetry_space_group_name_H-M 'I m m 2'
_symmetry_Int_Tables_number 44
_cell_length_a 3.1112
_cell_length_b 3.2881
_cell_length_c 8.2317
_cell_angle_alpha 90.00
_cell_angle_beta 90.00
_cell_angle_gamma 90.00
loop_
_symmetry_equiv_pos_as_xyz
'x,y,z'
'-x,-y,z'
'-x,y,z'
'x,-y,z'
'x+1/2,y+1/2,z+1/2'
'-x+1/2,-y+1/2,z+1/2'
'-x+1/2,y+1/2,z+1/2'
'x+1/2,-y+1/2,z+1/2'
loop_
_atom_site_label
_atom_site_fract_x
_atom_site_fract_y
_atom_site_fract_z
_atom_site_occupancy
Mn1 0.0000 0.0000 0.0000 1
Cu1 0.0000 0.0000 0.3439 1
Au1 0.0000 0.0000 0.6731 1
```

energy of formation from the pure elements	-0.319	eV per atom
crystal system	orthorhombic



# 11
MnCu2Au | SCAN | PBEsol geometry

Structure (CIF):
```
data_MnCu2Au
_symmetry_space_group_name_H-M 'C 1 2/m 1'
_symmetry_Int_Tables_number 12
_cell_length_a 8.6779
_cell_length_b 2.7706
_cell_length_c 4.5519
_cell_angle_alpha 90.00
_cell_angle_beta 101.49
_cell_angle_gamma 90.00
loop_
_symmetry_equiv_pos_as_xyz
'x,y,z'
'-x,-y,-z'
'-x,y,-z'
'x,-y,z'
'x+1/2,y+1/2,z'
'-x+1/2,-y+1/2,-z'
'-x+1/2,y+1/2,-z'
'x+1/2,-y+1/2,z'
loop_
_atom_site_label
_atom_site_fract_x
_atom_site_fract_y
_atom_site_fract_z
_atom_site_occupancy
Mn1 0.0000 0.0000 0.0000 1
Cu1 0.2466 0.5000 0.2360 1
Au1 0.0000 0.5000 0.5000 1
```

energy of formation from the pure elements	-0.137	eV per atom
crystal system	monoclinic



# 12
Ta2MnCuAu | SCAN | PBEsol geometry

Structure (CIF):
```
data_Ta2MnCuAu
_symmetry_space_group_name_H-M 'P 4/m m m'
_symmetry_Int_Tables_number 123
_symmetry_space_group_name_Hall '-P 4 2'
_cell_length_a 4.8944
_cell_length_b 4.8944
_cell_length_c 4.5679
_cell_angle_alpha 90.00
_cell_angle_beta 90.00
_cell_angle_gamma 90.00
loop_
_atom_site_label
_atom_site_fract_x
_atom_site_fract_y
_atom_site_fract_z
_atom_site_occupancy
Ta1 0.0000 0.5000 0.0000 1
Mn1 0.0000 0.0000 0.5000 1
Cu1 0.5000 0.5000 0.5000 1
Au1 0.5000 0.5000 0.0000 1
```

energy of formation from the pure elements	1.434	eV per atom
crystal system	tetragonal



Results for raw total energy: -236.64; -237.52; -516.62; -243.85; -487.53; -172.75; -345.49; -690.31; -473.97; -207.13; -236.72; -228.61 (in eV for the cell shown, following the order of the records).